(1)
VASP calculation (GGA-PBE) on a relaxed PmMgSn2Pt4 crystal.

POSCAR file:
```
PmMgSn2Pt4
1.0
2.2786 1.3156 8.6529
-2.2786 1.3156 8.6529
0.0000 -2.6311 8.6529
Pm Mg Sn Pt
1 1 2 4
Direct
0.0000 0.0000 0.0000
0.5000 0.5000 0.5000
0.2440 0.2440 0.2440
0.7560 0.7560 0.7560
0.1344 0.1344 0.1344
0.3979 0.3979 0.3979
0.6021 0.6021 0.6021
0.8656 0.8656 0.8656
```

Results
The symmetry is R-3m (166). Its crystal system is trigonal. The value obtained for the formation energy is -0.7874 eV/atom. The raw total energy comes out at -0.2059 Ha/atom.

(2)
VASP calculation (GGA-PBE) on a relaxed LiTlTeSe2 crystal.

POSCAR file:
```
LiTlTeSe2
1.0
8.2857 0.0000 0.0000
0.0000 7.5891 0.0000
0.0000 0.0000 4.3084
Li Tl Te Se
2 2 2 4
Direct
0.0000 0.0000 0.0000
0.5000 0.0000 0.0000
0.2500 0.5000 0.0027
0.7500 0.5000 0.9973
0.2500 0.0000 0.5004
0.7500 0.0000 0.4996
0.0000 0.2590 0.5000
0.0000 0.7410 0.5000
0.5000 0.2590 0.5000
0.5000 0.7410 0.5000
```

Results
The formation energy without anion corrections is -435 meV per atom. The symmetry is Pmma (51). Its crystal system is orthorhombic. The raw total energy comes out at -0.1218 Ha/atom.

(3)
VASP calculation (GGA-PBE) on a relaxed LaTb2OsO8 crystal.

POSCAR file:
```
LaTb2OsO8
1.0
3.5869 -3.6125 0.0000
3.5869 3.6125 0.0000
0.0000 0.0000 6.9784
La Tb Os O
1 2 1 8
Direct
0.0000 0.0000 0.0000
0.5000 0.5000 0.2492
0.5000 0.5000 0.7508
0.0000 0.0000 0.5000
0.1852 0.1852 0.3009
0.1852 0.1852 0.6991
0.2621 0.7379 0.5000
0.3159 0.6841 0.0000
0.6841 0.3159 0.0000
0.7379 0.2621 0.5000
0.8148 0.8148 0.3009
0.8148 0.8148 0.6991
```

Results
The formation energy without anion corrections is -2520 meV per atom. The symmetry is Cmmm (65). Its crystal system is orthorhombic. The raw total energy comes out at -0.2919 Ha/atom.

(4)
VASP calculation (GGA-PBE) on a relaxed Tl3RhI crystal.

POSCAR file:
```
Tl3RhI
1.0
4.8649 0.0000 0.0000
0.0000 4.8649 0.0000
0.0000 0.0000 8.3634
Tl Rh I
3 1 1
Direct
0.0000 0.0000 0.0000
0.0000 0.5000 0.6786
0.5000 0.0000 0.6786
0.5000 0.5000 0.8126
0.0000 0.0000 0.3834
```

Results
The formation energy without anion corrections is 141 meV per atom. The symmetry is P4mm (99). The offset from the most stable computed form comes out at 406 meV per atom. Its crystal system is tetragonal. The raw total energy comes out at -0.1124 Ha/atom.

(5)
VASP calculation (GGA-PBE) on a relaxed NaTbAgS2 crystal.

POSCAR file:
```
NaTbAgS2
1.0
6.4793 0.0000 0.0000
0.0000 5.1892 0.0000
-0.1735 0.0000 7.5360
Na Tb Ag S
2 2 2 4
Direct
0.0000 0.0163 0.2500
0.0000 0.9837 0.7500
0.5000 0.4988 0.7500
0.5000 0.5012 0.2500
0.5000 0.0000 0.0000
0.5000 0.0000 0.5000
0.2298 0.3392 0.9951
0.2298 0.6608 0.4951
0.7702 0.3392 0.5049
0.7702 0.6608 0.0049
```

Results
The formation energy without anion corrections is -994 meV per atom. The symmetry is P2/c (13). Its crystal system is monoclinic. The raw total energy comes out at -0.1619 Ha/atom.

(6)
VASP calculation (GGA-PBE) on a relaxed ZrCo2MoPd crystal.

POSCAR file:
```
ZrCo2MoPd
1.0
4.3435 0.0000 0.0000
0.0000 4.3435 0.0000
0.0000 0.0000 4.8487
Zr Co Mo Pd
1 2 1 1
Direct
0.0000 0.0000 0.0000
0.0000 0.5000 0.5000
0.5000 0.0000 0.5000
0.5000 0.5000 0.5000
0.5000 0.5000 0.0000
```

Results
The symmetry is P4/mmm (123). Its crystal system is tetragonal. The value obtained for the formation energy is 0.8597 eV/atom. The raw total energy comes out at -0.2535 Ha/atom.

no.,DOS(E_F) (states/eV per cell)
1,2.56
2,1.10
3,4.35
4,3.04
5,4.36
6,6.39